1.
The following is a DFT calculation (PBE-GGA) of a relaxed structure of Rb2ZnBr.

Cell lengths 8.200, 8.200, 8.200 Å; angles 109.81, 109.81, 108.79 degrees
Atoms (fractional coordinates):
Rb  0.092  0.625  0.967
Rb  0.375  0.342  0.467
Rb  0.658  0.125  0.033
Rb  0.875  0.908  0.533
Zn  0.250  0.750  0.500
Zn  0.500  0.500  0.000
Br  0.000  0.000  0.000
Br  0.750  0.250  0.500

V	53.06	Å³ per atom
formation energy without anion corrections	-578	meV/atom
total magnetic moment	0.237	μB per atom
space-group type	I-42d, No. 122
relative energy among the computed polymorphs	42	kJ/mol of formula units
Fermi-level density of states	0.513	states/eV per atom
crystal system	tetragonal



2.
The following is a DFT calculation (PBE-GGA) of a relaxed structure of RbZnBr.

Cell lengths 5.040, 5.040, 5.040 Å; angles 77.98, 77.98, 77.98 degrees
Atoms (fractional coordinates):
Rb  0.000  0.000  0.000
Zn  0.373  0.373  0.373
Br  0.675  0.675  0.675

V	40.22	Å³ per atom
formation energy without anion corrections	-717	meV/atom
total magnetic moment	0.000	μB per atom
space-group type	R3m, No. 160
relative energy among the computed polymorphs	49	kJ/mol of formula units
Fermi-level density of states	0.000	states/eV per atom
crystal system	trigonal



3.
The following is a DFT calculation (PBE-GGA) of a relaxed structure of RbZnBr.

Cell lengths 4.798, 4.798, 10.842 Å; angles 90.00, 90.00, 120.00 degrees
Atoms (fractional coordinates):
Rb  0.000  0.000  0.000
Rb  0.333  0.667  0.613
Zn  0.000  0.000  0.390
Zn  0.667  0.333  0.360
Br  0.333  0.667  0.188
Br  0.667  0.333  0.800

V	36.02	Å³ per atom
formation energy without anion corrections	-846	meV/atom
total magnetic moment	0.000	μB per atom
space-group type	P3m1, No. 156
relative energy among the computed polymorphs	12	kJ/mol of formula units
Fermi-level density of states	0.095	states/eV per atom
crystal system	trigonal



4.
The following is a DFT calculation (PBE-GGA) of a relaxed structure of Rb3Zn5Br12.

Cell lengths 15.058, 15.058, 15.058 Å; angles 109.47, 109.47, 109.47 degrees
Atoms (fractional coordinates):
Rb  0.125  0.250  0.375
Rb  0.125  0.375  0.750
Rb  0.250  0.375  0.125
Rb  0.250  0.875  0.625
Rb  0.375  0.125  0.250
Rb  0.375  0.750  0.125
Rb  0.625  0.250  0.875
Rb  0.625  0.875  0.750
Rb  0.750  0.125  0.375
Rb  0.750  0.625  0.875
Rb  0.875  0.625  0.250
Rb  0.875  0.750  0.625
Zn  0.000  0.000  0.000
Zn  0.000  0.000  0.500
Zn  0.000  0.500  0.000
Zn  0.000  0.500  0.500
Zn  0.125  0.750  0.875
Zn  0.125  0.875  0.250
Zn  0.250  0.125  0.875
Zn  0.250  0.625  0.375
Zn  0.375  0.250  0.625
Zn  0.375  0.625  0.750
Zn  0.500  0.000  0.000
Zn  0.500  0.000  0.500
Zn  0.500  0.500  0.000
Zn  0.500  0.500  0.500
Zn  0.625  0.375  0.250
Zn  0.625  0.750  0.375
Zn  0.750  0.375  0.625
Zn  0.750  0.875  0.125
Zn  0.875  0.125  0.750
Zn  0.875  0.250  0.125
Br  0.009  0.194  0.109
Br  0.009  0.315  0.901
Br  0.085  0.694  0.685
Br  0.085  0.891  0.401
Br  0.099  0.609  0.415
Br  0.099  0.991  0.685
Br  0.109  0.009  0.194
Br  0.109  0.599  0.915
Br  0.185  0.194  0.585
Br  0.185  0.491  0.599
Br  0.194  0.109  0.009
Br  0.194  0.585  0.185
Br  0.306  0.315  0.915
Br  0.306  0.491  0.391
Br  0.315  0.901  0.009
Br  0.315  0.915  0.306
Br  0.391  0.306  0.491
Br  0.391  0.585  0.901
Br  0.401  0.085  0.891
Br  0.401  0.815  0.509
Br  0.415  0.099  0.609
Br  0.415  0.815  0.806
Br  0.491  0.391  0.306
Br  0.491  0.599  0.185
Br  0.509  0.401  0.815
Br  0.509  0.609  0.694
Br  0.585  0.185  0.194
Br  0.585  0.901  0.391
Br  0.599  0.185  0.491
Br  0.599  0.915  0.109
Br  0.609  0.415  0.099
Br  0.609  0.694  0.509
Br  0.685  0.085  0.694
Br  0.685  0.099  0.991
Br  0.694  0.509  0.609
Br  0.694  0.685  0.085
Br  0.806  0.415  0.815
Br  0.806  0.891  0.991
Br  0.815  0.509  0.401
Br  0.815  0.806  0.415
Br  0.891  0.401  0.085
Br  0.891  0.991  0.806
Br  0.901  0.009  0.315
Br  0.901  0.391  0.585
Br  0.915  0.109  0.599
Br  0.915  0.306  0.315
Br  0.991  0.685  0.099
Br  0.991  0.806  0.891

V	32.85	Å³ per atom
formation energy without anion corrections	-1042	meV/atom
total magnetic moment	0.000	μB per atom
space-group type	Ia-3d, No. 230
Fermi-level density of states	0.096	states/eV per atom
crystal system	cubic



5.
The following is a DFT calculation (PBE-GGA) of a relaxed structure of Rb3ZnBr6.

Cell lengths 11.990, 11.990, 6.168 Å; angles 90.00, 90.00, 104.66 degrees
Atoms (fractional coordinates):
Rb  0.117  0.883  0.500
Rb  0.195  0.438  0.527
Rb  0.438  0.195  0.027
Rb  0.562  0.805  0.527
Rb  0.805  0.562  0.027
Rb  0.883  0.117  0.000
Zn  0.293  0.707  0.085
Zn  0.707  0.293  0.585
Br  0.092  0.628  0.200
Br  0.162  0.165  0.267
Br  0.165  0.162  0.767
Br  0.285  0.715  0.695
Br  0.372  0.908  0.200
Br  0.417  0.583  0.181
Br  0.583  0.417  0.681
Br  0.628  0.092  0.700
Br  0.715  0.285  0.195
Br  0.835  0.838  0.267
Br  0.838  0.835  0.767
Br  0.908  0.372  0.700

V	42.90	Å³ per atom
formation energy without anion corrections	-1314	meV/atom
total magnetic moment	0.000	μB per atom
space-group type	Cmc2_1, No. 36
relative energy among the computed polymorphs	0	kJ/mol of formula units
Fermi-level density of states	0.613	states/eV per atom
crystal system	orthorhombic



6.
The following is a DFT calculation (PBE-GGA) of a relaxed structure of RbZnBr.

Cell lengths 4.396, 4.958, 10.472 Å; angles 90.00, 90.14, 90.00 degrees
Atoms (fractional coordinates):
Rb  0.000  0.000  0.000
Rb  0.002  0.500  0.379
Zn  0.495  0.500  0.761
Zn  0.496  0.000  0.721
Br  0.501  0.500  0.105
Br  0.502  0.000  0.463

V	38.04	Å³ per atom
formation energy without anion corrections	-863	meV/atom
total magnetic moment	0.000	μB per atom
space-group type	Pm, No. 6
relative energy among the computed polymorphs	7	kJ/mol of formula units
Fermi-level density of states	0.253	states/eV per atom
crystal system	monoclinic



7.
The following is a DFT calculation (PBE-GGA) of a relaxed structure of RbZnBr.

Cell lengths 4.729, 4.996, 9.807 Å; angles 90.00, 103.94, 90.00 degrees
Atoms (fractional coordinates):
Rb  0.149  0.250  0.299
Rb  0.851  0.750  0.701
Zn  0.486  0.250  0.975
Zn  0.514  0.750  0.025
Br  0.336  0.250  0.671
Br  0.664  0.750  0.329

V	37.48	Å³ per atom
formation energy without anion corrections	-886	meV/atom
total magnetic moment	0.000	μB per atom
space-group type	P2_1/m, No. 11
relative energy among the computed polymorphs	0	kJ/mol of formula units
Fermi-level density of states	0.120	states/eV per atom
crystal system	monoclinic



8.
The following is a DFT calculation (PBE-GGA) of a relaxed structure of RbZnBr.

Cell lengths 4.099, 4.124, 11.905 Å; angles 80.52, 89.93, 89.85 degrees
Atoms (fractional coordinates):
Rb  0.000  0.000  0.000
Rb  0.002  0.166  0.642
Zn  0.007  0.792  0.387
Zn  0.506  0.286  0.378
Br  0.500  0.428  0.150
Br  0.501  0.592  0.797

V	33.08	Å³ per atom
formation energy without anion corrections	-846	meV/atom
total magnetic moment	0.000	μB per atom
space-group type	P1, No. 1
relative energy among the computed polymorphs	12	kJ/mol of formula units
Fermi-level density of states	0.105	states/eV per atom
crystal system	triclinic



9.
The following is a DFT calculation (PBE-GGA) of a relaxed structure of RbZnBr.

Cell lengths 4.612, 4.829, 7.367 Å; angles 109.10, 90.62, 90.03 degrees
Atoms (fractional coordinates):
Rb  0.000  0.000  0.000
Zn  0.478  0.776  0.542
Br  0.503  0.556  0.112

V	51.68	Å³ per atom
formation energy without anion corrections	-747	meV/atom
total magnetic moment	0.000	μB per atom
space-group type	P1, No. 1
relative energy among the computed polymorphs	40	kJ/mol of formula units
Fermi-level density of states	0.000	states/eV per atom
crystal system	triclinic



10.
The following is a DFT calculation (PBE-GGA) of a relaxed structure of RbZn3Br.

Cell lengths 6.683, 6.683, 6.683 Å; angles 90.00, 90.00, 90.00 degrees
Atoms (fractional coordinates):
Rb  0.000  0.000  0.000
Zn  0.000  0.000  0.500
Zn  0.000  0.500  0.000
Zn  0.500  0.000  0.000
Br  0.500  0.500  0.500

V	59.69	Å³ per atom
formation energy without anion corrections	371	meV/atom
total magnetic moment	0.000	μB per atom
space-group type	Pm-3m, No. 221
relative energy among the computed polymorphs	63	kJ/mol of formula units
Fermi-level density of states	0.000	states/eV per atom
crystal system	cubic



11.
The following is a DFT calculation (PBE-GGA) of a relaxed structure of RbZnBr.

Cell lengths 4.747, 4.747, 11.830 Å; angles 101.19, 101.19, 59.14 degrees
Atoms (fractional coordinates):
Rb  0.000  0.000  0.000
Rb  0.545  0.545  0.632
Zn  0.143  0.143  0.412
Zn  0.806  0.806  0.398
Br  0.270  0.270  0.807
Br  0.724  0.724  0.170

V	37.18	Å³ per atom
formation energy without anion corrections	-869	meV/atom
total magnetic moment	0.000	μB per atom
space-group type	Cm, No. 8
relative energy among the computed polymorphs	5	kJ/mol of formula units
Fermi-level density of states	0.134	states/eV per atom
crystal system	monoclinic



12.
The following is a DFT calculation (PBE-GGA) of a relaxed structure of Rb3ZnBr5.

Cell lengths 10.081, 10.081, 10.081 Å; angles 123.98, 123.98, 83.23 degrees
Atoms (fractional coordinates):
Rb  0.162  0.662  0.824
Rb  0.250  0.250  0.000
Rb  0.338  0.162  0.500
Rb  0.662  0.838  0.500
Rb  0.750  0.750  0.000
Rb  0.838  0.338  0.176
Zn  0.250  0.750  0.500
Zn  0.750  0.250  0.500
Br  0.000  0.000  0.000
Br  0.008  0.796  0.500
Br  0.204  0.704  0.212
Br  0.296  0.508  0.500
Br  0.492  0.992  0.788
Br  0.500  0.500  0.000
Br  0.508  0.008  0.212
Br  0.704  0.492  0.500
Br  0.796  0.296  0.788
Br  0.992  0.204  0.500

V	37.53	Å³ per atom
formation energy without anion corrections	-1486	meV/atom
total magnetic moment	0.012	μB per atom
space-group type	I4/mcm, No. 140
relative energy among the computed polymorphs	4	kJ/mol of formula units
Fermi-level density of states	0.000	states/eV per atom
crystal system	tetragonal